#a
The following is a DFT calculation (PBE-GGA) of a relaxed AcNd2Sm5 crystal.

The total magnetic moment comes out at 0.0 μB per formula unit.

The space group is Pbam (No. 55) and the conventional cell measures 7.372, 14.758 and 5.212 Å, with angles of 90.00, 90.00 and 90.00 degrees. The asymmetric unit holds Ac at (0.000, 0.000, 0.000), Nd at (0.247, 0.372, 0.500), Sm at (0.000, 0.500, 0.000), Sm at (0.001, 0.747, 0.000) and Sm at (0.249, 0.627, 0.500).

=====

#b
The following is a DFT calculation (PBE-GGA) of a relaxed AcNd2Sm5 crystal.

The total magnetic moment comes out at 0.0 μB per formula unit.

The space group is C2/c (No. 15) and the conventional cell measures 17.862, 11.090 and 11.497 Å, with angles of 90.00, 90.03 and 90.00 degrees. The asymmetric unit holds Ac at (0.250, 0.222, 0.168), Nd at (0.070, 0.168, 0.630), Nd at (0.070, 0.331, 0.370), Sm at (0.063, 0.136, 0.110), Sm at (0.063, 0.364, 0.889), Sm at (0.131, 0.000, 0.362), Sm at (0.131, 0.500, 0.138) and Sm at (0.250, 0.093, 0.575).

=====

Result of the stability comparison: #b is the least stable of them.

=====

#a
The following is a DFT calculation (PBE-GGA) of a relaxed Ac2Nd5Sm2 crystal.

The total magnetic moment comes out at 0.0 μB per formula unit.

The space group is Ima2 (No. 46) and the conventional cell measures 15.377, 9.901 and 8.853 Å, with angles of 90.00, 90.00 and 90.00 degrees. The asymmetric unit holds Ac at (0.125, 0.035, 0.000), Nd at (0.031, 0.171, 0.662), Nd at (0.149, 0.708, 0.852), Nd at (0.250, 0.167, 0.330), Sm at (0.000, 0.000, 0.338) and Sm at (0.250, 0.512, 0.151).

=====

#b
The following is a DFT calculation (PBE-GGA) of a relaxed Ac2Nd5Sm2 crystal.

The total magnetic moment comes out at 0.0 μB per formula unit.

The space group is C2/m (No. 12) and the conventional cell measures 18.446, 3.679 and 10.234 Å, with angles of 90.00, 103.67 and 90.00 degrees. The asymmetric unit holds Ac at (0.014, 0.000, 0.183), Nd at (0.000, 0.500, 0.500), Nd at (0.163, 0.000, 0.706), Nd at (0.163, 0.500, 0.025) and Sm at (0.172, 0.500, 0.405).

=====

Result of the stability comparison: #a is the least stable of them.

=====

#a
The following is a DFT calculation (PBE-GGA) of a relaxed Ac2Nd2Sm5 crystal.

The total magnetic moment comes out at 0.0 μB per formula unit.

The space group is C2/m (No. 12) and the conventional cell measures 17.250, 3.685 and 12.259 Å, with angles of 90.00, 122.34 and 90.00 degrees. The asymmetric unit holds Ac at (0.045, 0.000, 0.263), Nd at (0.186, 0.500, 0.840), Sm at (0.000, 0.500, 0.500), Sm at (0.111, 0.500, 0.057) and Sm at (0.221, 0.000, 0.611).

=====

#b
The following is a DFT calculation (PBE-GGA) of a relaxed Ac2Nd2Sm5 crystal.

The total magnetic moment comes out at 0.0 μB per formula unit.

The space group is Ima2 (No. 46) and the conventional cell measures 15.371, 9.842 and 8.805 Å, with angles of 90.00, 90.00 and 90.00 degrees. The asymmetric unit holds Ac at (0.126, 0.036, 0.000), Nd at (0.000, 0.000, 0.663), Nd at (0.250, 0.512, 0.849), Sm at (0.030, 0.172, 0.339), Sm at (0.150, 0.708, 0.146) and Sm at (0.250, 0.168, 0.671).

=====

Result of the stability comparison: #b is the least stable of them.

=====

#a
The following is a DFT calculation (PBE-GGA) of a relaxed Ac2Nd4Sm5 crystal.

The total magnetic moment comes out at 0.0 μB per formula unit.

The space group is C2/m (No. 12) and the conventional cell measures 24.982, 3.691 and 9.518 Å, with angles of 90.00, 111.92 and 90.00 degrees. The asymmetric unit holds Ac at (0.112, 0.000, 0.426), Nd at (0.044, 0.000, 0.711), Nd at (0.184, 0.500, 0.836), Sm at (0.000, 0.500, 0.000), Sm at (0.131, 0.000, 0.071) and Sm at (0.232, 0.500, 0.335).

=====

#b
The following is a DFT calculation (PBE-GGA) of a relaxed Ac2Nd4Sm5 crystal.

The total magnetic moment comes out at 0.0 μB per formula unit.

The space group is C2/m (No. 12) and the conventional cell measures 13.035, 6.986 and 10.897 Å, with angles of 90.00, 126.27 and 90.00 degrees. The asymmetric unit holds Ac at (0.067, 0.000, 0.242), Nd at (0.112, 0.500, 0.374), Nd at (0.239, 0.500, 0.970), Sm at (0.000, 0.500, 0.000) and Sm at (0.156, 0.236, 0.667).

=====

Result of the stability comparison: #b is the least stable of them.

=====

#a
The following is a DFT calculation (PBE-GGA) of a relaxed Ac2Nd7Sm crystal.

The total magnetic moment comes out at 0.0 μB per formula unit.

The space group is Cmmm (No. 65) and the conventional cell measures 6.879, 30.168 and 3.618 Å, with angles of 90.00, 90.00 and 90.00 degrees. The asymmetric unit holds Ac at (0.000, 0.205, 0.000), Nd at (0.000, 0.000, 0.000), Nd at (0.000, 0.316, 0.500), Nd at (0.244, 0.404, 0.000) and Sm at (0.000, 0.500, 0.500).

=====

#b
The following is a DFT calculation (PBE-GGA) of a relaxed Ac2Nd7Sm crystal.

The total magnetic moment comes out at 0.0 μB per formula unit.

The space group is Cmmm (No. 65) and the conventional cell measures 12.414, 17.606 and 3.634 Å, with angles of 90.00, 90.00 and 90.00 degrees. The asymmetric unit holds Ac at (0.000, 0.175, 0.000), Nd at (0.000, 0.337, 0.500), Nd at (0.000, 0.500, 0.000), Nd at (0.240, 0.382, 0.000) and Sm at (0.000, 0.000, 0.500).

=====

Result of the stability comparison: #b is the least stable of them.

=====

#a
The following is a DFT calculation (PBE-GGA) of a relaxed AcNd6Sm12 crystal.

The total magnetic moment comes out at 0.0 μB per formula unit.

The space group is R-3 (No. 148, hexagonal axes) and the conventional cell measures 12.2869, 12.2869 and 15.4282 Å, with angles of 90.00, 90.00 and 120.00 degrees. The asymmetric unit holds Ac at (0.0000, 0.0000, 0.0000), Nd at (0.0076, 0.4194, 0.6818), Sm at (0.0103, 0.8327, 0.1924) and Sm at (0.0433, 0.8512, 0.4173).

=====

#b
The following is a DFT calculation (PBE-GGA) of a relaxed AcNd6Sm12 crystal.

The total magnetic moment comes out at 0.0 μB per formula unit.

The space group is R-3m (No. 166, hexagonal axes) and the conventional cell measures 13.6356, 13.6356 and 12.7407 Å, with angles of 90.00, 90.00 and 120.00 degrees. The asymmetric unit holds Ac at (0.0000, 0.0000, 0.0000), Nd at (0.0360, 0.5180, 0.6182), Sm at (0.0000, 0.2590, 0.5000) and Sm at (0.0915, 0.1831, 0.2642).

=====

Result of the stability comparison: #b is the least stable of them.

=====

#a
The following is a DFT calculation (PBE-GGA) of a relaxed AcTbNdSm crystal.

The total magnetic moment comes out at 0.0 μB per formula unit.

The space group is F-43m (No. 216) and the conventional cell measures 8.364, 8.364 and 8.364 Å, with angles of 90.00, 90.00 and 90.00 degrees. The asymmetric unit holds Ac at (0.000, 0.000, 0.000), Tb at (0.000, 0.000, 0.500), Nd at (0.250, 0.250, 0.750) and Sm at (0.250, 0.250, 0.250).

=====

#b
The following is a DFT calculation (PBE-GGA) of a relaxed AcTbNdSm crystal.

The total magnetic moment comes out at 0.0 μB per formula unit.

The space group is I-4m2 (No. 119) and the conventional cell measures 5.261, 5.261 and 10.520 Å, with angles of 90.00, 90.00 and 90.00 degrees. The asymmetric unit holds Ac at (0.000, 0.000, 0.000), Tb at (0.000, 0.000, 0.500), Nd at (0.000, 0.500, 0.250) and Sm at (0.000, 0.500, 0.750).

=====

Result of the stability comparison: #a is the least stable of them.

=====

#a
The following is a DFT calculation (PBE-GGA) of a relaxed AcNdSmTh crystal.

The total magnetic moment comes out at 0.0 μB per formula unit.

The space group is P4mm (No. 99) and the conventional cell measures 3.700, 3.700 and 10.637 Å, with angles of 90.00, 90.00 and 90.00 degrees. The asymmetric unit holds Ac at (0.000, 0.000, 0.000), Nd at (0.500, 0.500, 0.725), Sm at (0.500, 0.500, 0.271) and Th at (0.000, 0.000, 0.496).

=====

#b
The following is a DFT calculation (PBE-GGA) of a relaxed AcNdSmTh crystal.

The total magnetic moment comes out at 0.0 μB per formula unit.

The space group is F-43m (No. 216) and the conventional cell measures 8.335, 8.335 and 8.335 Å, with angles of 90.00, 90.00 and 90.00 degrees. The asymmetric unit holds Ac at (0.000, 0.000, 0.000), Nd at (0.250, 0.250, 0.750), Sm at (0.250, 0.250, 0.250) and Th at (0.000, 0.000, 0.500).

=====

Result of the stability comparison: #b is the least stable of them.

=====

#a
The following is a DFT calculation (PBE-GGA) of a relaxed AcNdSmZn crystal.

The total magnetic moment comes out at 0.0 μB per formula unit.

The space group is P4mm (No. 99) and the conventional cell measures 3.747, 3.747 and 9.019 Å, with angles of 90.00, 90.00 and 90.00 degrees. The asymmetric unit holds Ac at (0.000, 0.000, 0.000), Nd at (0.500, 0.500, 0.306), Sm at (0.500, 0.500, 0.698) and Zn at (0.000, 0.000, 0.507).

=====

#b
The following is a DFT calculation (PBE-GGA) of a relaxed AcNdSmZn crystal.

The total magnetic moment comes out at 0.0 μB per formula unit.

The space group is F-43m (No. 216) and the conventional cell measures 7.947, 7.947 and 7.947 Å, with angles of 90.00, 90.00 and 90.00 degrees. The asymmetric unit holds Ac at (0.000, 0.000, 0.000), Nd at (0.250, 0.250, 0.250), Sm at (0.250, 0.250, 0.750) and Zn at (0.000, 0.000, 0.500).

=====

Result of the stability comparison: #b is the least stable of them.

=====

#a
The following is a DFT calculation (PBE-GGA) of a relaxed AcNd2Sn crystal.

The total magnetic moment comes out at 0.0 μB per formula unit.

The space group is Fm-3m (No. 225) and the conventional cell measures 8.035, 8.035 and 8.035 Å, with angles of 90.00, 90.00 and 90.00 degrees. The asymmetric unit holds Ac at (0.000, 0.000, 0.000), Nd at (0.250, 0.250, 0.250) and Sn at (0.000, 0.000, 0.500).

=====

#b
The following is a DFT calculation (PBE-GGA) of a relaxed AcNd2Sn crystal.

The total magnetic moment comes out at 0.0 μB per formula unit.

The space group is R3m (No. 160, hexagonal axes) and the conventional cell measures 3.8914, 3.8914 and 32.9025 Å, with angles of 90.00, 90.00 and 120.00 degrees. The asymmetric unit holds Ac at (0.0000, 0.0000, 0.0000), Nd at (0.0000, 0.0000, 0.5721), Nd at (0.0000, 0.0000, 0.7617) and Sn at (0.0000, 0.0000, 0.1667).

=====

#c
The following is a DFT calculation (PBE-GGA) of a relaxed AcNd2Sn crystal.

The total magnetic moment comes out at 0.0 μB per formula unit.

The space group is Cmcm (No. 63) and the conventional cell measures 4.423, 12.743 and 10.043 Å, with angles of 90.00, 90.00 and 90.00 degrees. The asymmetric unit holds Ac at (0.000, 0.056, 0.250), Nd at (0.000, 0.358, 0.042) and Sn at (0.000, 0.234, 0.750).

=====

Result of the stability comparison: #b is the least stable of them.